<one>
# PBE-GGA CoCuMo2, optimized geometry
data_CoCuMo2
_symmetry_space_group_name_H-M 'I -4 m 2'
_symmetry_Int_Tables_number 119
_symmetry_space_group_name_Hall 'I -4 -2'
_cell_length_a 3.7746
_cell_length_b 3.7746
_cell_length_c 7.7123
_cell_angle_alpha 90.00
_cell_angle_beta 90.00
_cell_angle_gamma 90.00
loop_
_atom_site_label
_atom_site_fract_x
_atom_site_fract_y
_atom_site_fract_z
Co1 0.0000 0.0000 0.0000
Cu1 0.0000 0.5000 0.7500
Mo1 0.0000 0.0000 0.5000
Mo2 0.0000 0.5000 0.2500
# **Total magnetic moment**: 1.60 μB per formula unit


<two>
# PBE-GGA CoCuMo2, optimized geometry
data_CoCuMo2
_symmetry_space_group_name_H-M 'I -4 2 d'
_symmetry_Int_Tables_number 122
_symmetry_space_group_name_Hall 'I -4 2bw'
_cell_length_a 6.8341
_cell_length_b 6.8341
_cell_length_c 5.0209
_cell_angle_alpha 90.00
_cell_angle_beta 90.00
_cell_angle_gamma 90.00
loop_
_atom_site_label
_atom_site_fract_x
_atom_site_fract_y
_atom_site_fract_z
Co1 0.0000 0.0000 0.0000
Cu1 0.0000 0.0000 0.5000
Mo1 0.2154 0.7500 0.1250
# **Total magnetic moment**: 0.00 μB per formula unit


Relative to the most stable one, in meV per atom, the structures come out at <one> 0; <two> 339.


<one>
# PBE-GGA Co2CuMo, optimized geometry
data_Co2CuMo
_symmetry_space_group_name_H-M 'P 4 m m'
_symmetry_Int_Tables_number 99
_symmetry_space_group_name_Hall 'P 4 -2'
_cell_length_a 2.6006
_cell_length_b 2.6006
_cell_length_c 7.3590
_cell_angle_alpha 90.00
_cell_angle_beta 90.00
_cell_angle_gamma 90.00
loop_
_atom_site_label
_atom_site_fract_x
_atom_site_fract_y
_atom_site_fract_z
Co1 0.0000 0.0000 0.0000
Co2 0.5000 0.5000 0.2115
Cu1 0.0000 0.0000 0.4537
Mo1 0.5000 0.5000 0.7315
# **Total magnetic moment**: 2.89 μB per formula unit


<two>
# PBE-GGA Co2CuMo, optimized geometry
data_Co2CuMo
_symmetry_space_group_name_H-M 'F m m m'
_symmetry_Int_Tables_number 69
_symmetry_space_group_name_Hall '-F 2 2'
_cell_length_a 5.2746
_cell_length_b 5.2852
_cell_length_c 6.8901
_cell_angle_alpha 90.00
_cell_angle_beta 90.00
_cell_angle_gamma 90.00
loop_
_atom_site_label
_atom_site_fract_x
_atom_site_fract_y
_atom_site_fract_z
Co1 0.2500 0.2500 0.2500
Cu1 0.0000 0.0000 0.0000
Mo1 0.0000 0.0000 0.5000
# **Total magnetic moment**: 0.00 μB per formula unit


Relative to the most stable one, in meV per atom, the structures come out at <one> 70; <two> 0.


<one>
# PBE-GGA Co2CuMo, optimized geometry
data_Co2CuMo
_symmetry_space_group_name_H-M 'P 1 2/m 1'
_symmetry_Int_Tables_number 10
_symmetry_space_group_name_Hall '-P 2y'
_cell_length_a 2.5179
_cell_length_b 4.1902
_cell_length_c 4.7646
_cell_angle_alpha 90.00
_cell_angle_beta 95.54
_cell_angle_gamma 90.00
loop_
_atom_site_label
_atom_site_fract_x
_atom_site_fract_y
_atom_site_fract_z
Co1 0.2477 0.0000 0.2584
Cu1 0.0000 0.5000 0.5000
Mo1 0.5000 0.5000 0.0000
# **Total magnetic moment**: 2.67 μB per formula unit


<two>
# PBE-GGA Co2CuMo, optimized geometry
data_Co2CuMo
_symmetry_space_group_name_H-M 'C m m m'
_symmetry_Int_Tables_number 65
_symmetry_space_group_name_Hall '-C 2 2'
_cell_length_a 5.3016
_cell_length_b 7.0897
_cell_length_c 2.6117
_cell_angle_alpha 90.00
_cell_angle_beta 90.00
_cell_angle_gamma 90.00
loop_
_atom_site_label
_atom_site_fract_x
_atom_site_fract_y
_atom_site_fract_z
Co1 0.2500 0.2500 0.0000
Cu1 0.0000 0.0000 0.5000
Mo1 0.0000 0.5000 0.5000
# **Total magnetic moment**: 1.13 μB per formula unit


<three>
# PBE-GGA Co2CuMo, optimized geometry
data_Co2CuMo
_symmetry_space_group_name_H-M 'I -4 m 2'
_symmetry_Int_Tables_number 119
_symmetry_space_group_name_Hall 'I -4 -2'
_cell_length_a 3.5384
_cell_length_b 3.5384
_cell_length_c 7.6767
_cell_angle_alpha 90.00
_cell_angle_beta 90.00
_cell_angle_gamma 90.00
loop_
_atom_site_label
_atom_site_fract_x
_atom_site_fract_y
_atom_site_fract_z
Co1 0.0000 0.0000 0.0000
Co2 0.0000 0.5000 0.2500
Cu1 0.0000 0.0000 0.5000
Mo1 0.0000 0.5000 0.7500
# **Total magnetic moment**: 0.00 μB per formula unit


<four>
# PBE-GGA Co2CuMo, optimized geometry
data_Co2CuMo
_symmetry_space_group_name_H-M 'P m m m'
_symmetry_Int_Tables_number 47
_symmetry_space_group_name_Hall '-P 2 2'
_cell_length_a 2.6616
_cell_length_b 3.4430
_cell_length_c 5.2872
_cell_angle_alpha 90.00
_cell_angle_beta 90.00
_cell_angle_gamma 90.00
loop_
_atom_site_label
_atom_site_fract_x
_atom_site_fract_y
_atom_site_fract_z
Co1 0.0000 0.0000 0.2410
Cu1 0.5000 0.5000 0.0000
Mo1 0.5000 0.5000 0.5000
# **Total magnetic moment**: 0.00 μB per formula unit


Relative to the most stable one, in meV per atom, the structures come out at <one> 124; <two> 116; <three> 23; <four> 0.


<one>
# PBE-GGA Co2CuMo, optimized geometry
data_Co2CuMo
_symmetry_space_group_name_H-M 'I -4 2 d'
_symmetry_Int_Tables_number 122
_symmetry_space_group_name_Hall 'I -4 2bw'
_cell_length_a 6.4225
_cell_length_b 6.4225
_cell_length_c 5.1702
_cell_angle_alpha 90.00
_cell_angle_beta 90.00
_cell_angle_gamma 90.00
loop_
_atom_site_label
_atom_site_fract_x
_atom_site_fract_y
_atom_site_fract_z
Co1 0.2360 0.2500 0.1250
Cu1 0.0000 0.0000 0.5000
Mo1 0.0000 0.0000 0.0000
# **Total magnetic moment**: 0.00 μB per formula unit


<two>
# PBE-GGA Co2CuMo, optimized geometry
data_Co2CuMo
_symmetry_space_group_name_H-M 'R -3 m'
_symmetry_Int_Tables_number 166
_symmetry_space_group_name_Hall '-R 3 2"'
_cell_length_a 2.6208
_cell_length_b 2.6208
_cell_length_c 25.2619
_cell_angle_alpha 90.00
_cell_angle_beta 90.00
_cell_angle_gamma 120.00
loop_
_atom_site_label
_atom_site_fract_x
_atom_site_fract_y
_atom_site_fract_z
Co1 0.0000 0.0000 0.2483
Cu1 0.0000 0.0000 0.5000
Mo1 0.0000 0.0000 0.0000
# **Total magnetic moment**: 1.86 μB per formula unit


<three>
# PBE-GGA Co2CuMo, optimized geometry
data_Co2CuMo
_symmetry_space_group_name_H-M 'P m m 2'
_symmetry_Int_Tables_number 25
_symmetry_space_group_name_Hall 'P 2 -2'
_cell_length_a 2.5813
_cell_length_b 3.7148
_cell_length_c 5.1369
_cell_angle_alpha 90.00
_cell_angle_beta 90.00
_cell_angle_gamma 90.00
loop_
_atom_site_label
_atom_site_fract_x
_atom_site_fract_y
_atom_site_fract_z
Co1 0.0000 0.0000 0.0000
Co2 0.5000 0.5000 0.2412
Cu1 0.0000 0.0000 0.4763
Mo1 0.5000 0.5000 0.7570
# **Total magnetic moment**: 2.11 μB per formula unit


Relative to the most stable one, in meV per atom, the structures come out at <one> 422; <two> 41; <three> 0.


<one>
# PBE-GGA Co2CuMo, optimized geometry
data_Co2CuMo
_symmetry_space_group_name_H-M 'F -4 3 m'
_symmetry_Int_Tables_number 216
_symmetry_space_group_name_Hall 'F -4 2 3'
_cell_length_a 5.8378
_cell_length_b 5.8378
_cell_length_c 5.8378
_cell_angle_alpha 90.00
_cell_angle_beta 90.00
_cell_angle_gamma 90.00
loop_
_atom_site_label
_atom_site_fract_x
_atom_site_fract_y
_atom_site_fract_z
Co1 0.0000 0.0000 0.0000
Co2 0.2500 0.2500 0.2500
Cu1 0.0000 0.0000 0.5000
Mo1 0.2500 0.2500 0.7500
# **Total magnetic moment**: 2.61 μB per formula unit


<two>
# PBE-GGA Co2CuMo, optimized geometry
data_Co2CuMo
_symmetry_space_group_name_H-M 'C 1 m 1'
_symmetry_Int_Tables_number 8
_symmetry_space_group_name_Hall 'C -2y'
_cell_length_a 8.7542
_cell_length_b 2.6086
_cell_length_c 4.4040
_cell_angle_alpha 90.00
_cell_angle_beta 102.14
_cell_angle_gamma 90.00
loop_
_atom_site_label
_atom_site_fract_x
_atom_site_fract_y
_atom_site_fract_z
Co1 0.0000 0.0000 0.0000
Co2 0.2272 0.5000 0.2676
Cu1 0.2467 0.0000 0.7828
Mo1 0.4829 0.0000 0.4885
# **Total magnetic moment**: 1.45 μB per formula unit


<three>
# PBE-GGA Co2CuMo, optimized geometry
data_Co2CuMo
_symmetry_space_group_name_H-M 'R 3 m'
_symmetry_Int_Tables_number 160
_symmetry_space_group_name_Hall 'R 3 -2"'
_cell_length_a 2.6170
_cell_length_b 2.6170
_cell_length_c 25.5546
_cell_angle_alpha 90.00
_cell_angle_beta 90.00
_cell_angle_gamma 120.00
loop_
_atom_site_label
_atom_site_fract_x
_atom_site_fract_y
_atom_site_fract_z
Co1 0.0000 0.0000 0.0000
Co2 0.0000 0.0000 0.2577
Cu1 0.0000 0.0000 0.5097
Mo1 0.0000 0.0000 0.7523
# **Total magnetic moment**: 2.69 μB per formula unit


<four>
# PBE-GGA Co2CuMo, optimized geometry
data_Co2CuMo
_symmetry_space_group_name_H-M 'F m -3 m'
_symmetry_Int_Tables_number 225
_symmetry_space_group_name_Hall '-F 4 2 3'
_cell_length_a 5.7918
_cell_length_b 5.7918
_cell_length_c 5.7918
_cell_angle_alpha 90.00
_cell_angle_beta 90.00
_cell_angle_gamma 90.00
loop_
_atom_site_label
_atom_site_fract_x
_atom_site_fract_y
_atom_site_fract_z
Co1 0.2500 0.2500 0.2500
Cu1 0.0000 0.0000 0.0000
Mo1 0.0000 0.0000 0.5000
# **Total magnetic moment**: 1.00 μB per formula unit


Relative to the most stable one, in meV per atom, the structures come out at <one> 162; <two> 49; <three> 93; <four> 0.


<one>
# PBE-GGA Co2CuMo, optimized geometry
data_Co2CuMo
_symmetry_space_group_name_H-M 'P 4/m m m'
_symmetry_Int_Tables_number 123
_symmetry_space_group_name_Hall '-P 4 2'
_cell_length_a 3.7558
_cell_length_b 3.7558
_cell_length_c 3.4185
_cell_angle_alpha 90.00
_cell_angle_beta 90.00
_cell_angle_gamma 90.00
loop_
_atom_site_label
_atom_site_fract_x
_atom_site_fract_y
_atom_site_fract_z
Co1 0.0000 0.5000 0.0000
Cu1 0.0000 0.0000 0.5000
Mo1 0.5000 0.5000 0.5000
# **Total magnetic moment**: 0.00 μB per formula unit


<two>
# PBE-GGA Co2CuMo, optimized geometry
data_Co2CuMo
_symmetry_space_group_name_H-M 'C 1 2/m 1'
_symmetry_Int_Tables_number 12
_symmetry_space_group_name_Hall '-C 2y'
_cell_length_a 8.3857
_cell_length_b 2.6047
_cell_length_c 4.5680
_cell_angle_alpha 90.00
_cell_angle_beta 99.39
_cell_angle_gamma 90.00
loop_
_atom_site_label
_atom_site_fract_x
_atom_site_fract_y
_atom_site_fract_z
Co1 0.2479 0.0000 0.2436
Cu1 0.0000 0.5000 0.0000
Mo1 0.0000 0.0000 0.5000
# **Total magnetic moment**: 1.77 μB per formula unit


Relative to the most stable one, in meV per atom, the structures come out at <one> 0; <two> 12.